{"formula": "NaErMo2O8", "functional": "GGA+U", "state": "relaxed", "cell": [[-2.615, 2.615, 5.695], [2.615, -2.615, 5.695], [2.615, 2.615, -5.695]], "species": ["Na", "Er", "Mo", "Mo", "O", "O", "O", "O", "O", "O", "O", "O"], "frac_coords": [[0.000, 0.000, 0.000], [0.750, 0.250, 0.500], [0.250, 0.750, 0.500], [0.500, 0.500, 0.000], [0.004, 0.422, 0.088], [0.084, 0.996, 0.418], [0.164, 0.555, 0.898], [0.334, 0.916, 0.912], [0.445, 0.343, 0.609], [0.578, 0.666, 0.582], [0.657, 0.266, 0.102], [0.734, 0.836, 0.391]], "total_magnetization_mub_per_cell": 0.0, "sg": "I-4, No. 82", "energy_ev_per_cell": -85.417}